First-principles (PBE) data for a relaxed Nd3TmBi2 crystal, as listed in the Alexandria database.

a = 4.6363 Å, b = 4.6363 Å, c = 8.9386 Å
α = 90.00°, β = 90.00°, γ = 90.00°
Fractional positions:
Nd: 0.0000 0.0000 0.0000
Nd: 0.0000 0.5000 0.6492
Nd: 0.5000 0.0000 0.3508
Tm: 0.5000 0.5000 0.0000
Bi: 0.0000 0.5000 0.2781
Bi: 0.5000 0.0000 0.7219

Computed properties:
- Density: 8.81 Mg/m³
- Energy relative to the lowest polymorph listed for this composition: 0.000 eV per atom
- Calculated formation energy: -0.64 eV/atom